Entry from the Alexandria database: a relaxed AcSbH2 crystal (PBE).

Output
Relative energy among the computed polymorphs in meV/atom: 391
Volume in A^3/atom: 19.2

Lattice parameters (Å, degrees): 3.3240 3.3240 6.9606 90.00 90.00 90.00
Last column: nearest neighbours and their distance in Å.
Positions (direct):
Ac1 0.0000 0.0000 0.0000  8 H 2.56
Sb1 0.0000 0.0000 0.5000  4 Sb 3.32, 8 H 3.40, 2 Ac 3.48
H1 0.5000 0.5000 0.1463  1 H 2.04
H2 0.5000 0.5000 0.8537  1 H 2.04

***

Entry from the Alexandria database: a relaxed Ac3SbH crystal (PBE).

Output
Volume in A^3/atom: 29.9

Lattice parameters (Å, degrees): 5.3054 5.3054 5.3054 90.00 90.00 90.00
Last column: nearest neighbours and their distance in Å.
Positions (direct):
Ac1 0.0000 0.0000 0.5000  2 H 2.65
Ac2 0.0000 0.5000 0.0000  2 H 2.65
Ac3 0.5000 0.0000 0.0000  2 H 2.65
Sb1 0.5000 0.5000 0.5000  12 Ac 3.75
H1 0.0000 0.0000 0.0000  6 Ac 2.65

***

Entry from the Alexandria database: a relaxed Ac4Sb3H4 crystal (PBE).

Output
Volume in A^3/atom: 24.1

Lattice parameters (Å, degrees): 7.0086 7.0086 7.0086 109.47 109.47 109.47
Last column: nearest neighbours and their distance in Å.
Positions (direct):
Ac1 0.0000 0.0000 0.3736  4 H 2.60-2.69
Ac2 0.0000 0.3736 0.0000  4 H 2.60-2.69
Ac3 0.3736 0.0000 0.0000  4 H 2.60-2.69
Ac4 0.6264 0.6264 0.6264  4 H 2.60-2.69
Sb1 0.0000 0.5000 0.5000  4 Ac 3.32, 4 H 3.37
Sb2 0.5000 0.0000 0.5000  4 Ac 3.32, 4 H 3.37
Sb3 0.5000 0.5000 0.0000  4 Ac 3.32, 4 H 3.37
H1 0.0000 0.0000 0.7581  4 Ac 2.60-2.69, 3 H 2.77
H2 0.0000 0.7581 0.0000  4 Ac 2.60-2.69, 3 H 2.77
H3 0.2419 0.2419 0.2419  4 Ac 2.60-2.69, 3 H 2.77
H4 0.7581 0.0000 0.0000  4 Ac 2.60-2.69, 3 H 2.77

***

Ordered final energy results: -3.79; -4.42; -4.64; unit eV per atom.